# 1
SrZnSeO after structural relaxation. Source: OQMD via LeMat-Bulk, functional GGA-PBE.

a = 4.768 Å, b = 4.768 Å, c = 7.562 Å
α = 90.00°, β = 90.00°, γ = 90.00°
Element x y z (fractional)
Sr1 0.250 0.250 0.178
Sr2 0.750 0.750 0.822
Zn1 0.250 0.250 0.634
Zn2 0.750 0.750 0.366
Se1 0.250 0.750 0.500
Se2 0.750 0.250 0.500
O1 0.250 0.250 0.882
O2 0.750 0.750 0.118

Properties
Calculated total energy ... -4.246 eV per atom

=====

# 2
TmAgB after structural relaxation. Source: OQMD via LeMat-Bulk, functional GGA-PBE.

a = 4.456 Å, b = 4.456 Å, c = 4.456 Å
α = 60.00°, β = 60.00°, γ = 60.00°
Element x y z (fractional)
Tm1 0.000 0.000 0.000
Ag1 0.750 0.750 0.750
B1 0.250 0.250 0.250

Properties
Calculated total energy ... -3.796 eV per atom

=====

# 3
TlTePdAuSe2 after structural relaxation. Source: OQMD via LeMat-Bulk, functional GGA-PBE.

a = 7.719 Å, b = 7.719 Å, c = 11.076 Å
α = 90.00°, β = 90.00°, γ = 152.15°
Element x y z (fractional)
Tl1 0.215 0.785 0.750
Tl2 0.785 0.215 0.250
Te1 0.466 0.534 0.250
Te2 0.534 0.466 0.750
Pd1 0.500 0.500 0.000
Pd2 0.500 0.500 0.500
Au1 0.128 0.872 0.250
Au2 0.872 0.128 0.750
Se1 0.114 0.886 0.021
Se2 0.114 0.886 0.479
Se3 0.886 0.114 0.521
Se4 0.886 0.114 0.979

Properties
Calculated total energy ... -3.686 eV per atom

=====

# 4
Cs2AgCl3F after structural relaxation. Source: OQMD via LeMat-Bulk, functional GGA-PBE.

a = 4.369 Å, b = 7.303 Å, c = 7.303 Å
α = 82.27°, β = 90.00°, γ = 90.00°
Element x y z (fractional)
Cs1 0.000 0.217 0.783
Cs2 0.000 0.783 0.217
Ag1 0.500 0.744 0.744
Cl1 0.500 0.005 0.496
Cl2 0.500 0.496 0.005
Cl3 0.500 0.523 0.523
F1 0.500 0.942 0.942

Properties
Calculated total energy ... -3.206 eV per atom

=====

# 5
KDyErNi2 after structural relaxation. Source: OQMD via LeMat-Bulk, functional GGA-PBE.

a = 3.666 Å, b = 9.198 Å, c = 9.198 Å
α = 25.22°, β = 90.00°, γ = 90.00°
Element x y z (fractional)
K1 0.000 0.000 0.000
Dy1 0.500 0.329 0.329
Er1 0.500 0.670 0.670
Ni1 0.000 0.206 0.206
Ni2 0.000 0.790 0.790

Properties
Calculated total energy ... -4.447 eV per atom

=====

# 6
PtF6 after structural relaxation. Source: OQMD via LeMat-Bulk, functional GGA-PBE.

a = 5.092 Å, b = 5.092 Å, c = 5.092 Å
α = 109.47°, β = 109.47°, γ = 109.47°
Element x y z (fractional)
Pt1 0.000 0.000 0.000
F1 0.000 0.319 0.319
F2 0.000 0.681 0.681
F3 0.319 0.000 0.319
F4 0.319 0.319 0.000
F5 0.681 0.000 0.681
F6 0.681 0.681 0.000

Properties
Calculated total energy ... -3.472 eV per atom

=====

# 7
BaHfPd after structural relaxation. Source: OQMD via LeMat-Bulk, functional GGA-PBE.

a = 5.010 Å, b = 5.010 Å, c = 5.010 Å
α = 60.00°, β = 60.00°, γ = 60.00°
Element x y z (fractional)
Ba1 0.000 0.000 0.000
Hf1 0.500 0.500 0.500
Pd1 0.250 0.250 0.250

Properties
Calculated total energy ... -5.270 eV per atom

=====

# 8
GdSc2NiSn3Ir2 after structural relaxation. Source: OQMD via LeMat-Bulk, functional GGA-PBE.

a = 3.571 Å, b = 7.549 Å, c = 7.549 Å
α = 120.42°, β = 90.00°, γ = 90.00°
Element x y z (fractional)
Gd1 0.000 0.000 0.000
Sc1 0.000 0.404 0.807
Sc2 0.000 0.807 0.404
Ni1 0.000 0.406 0.406
Sn1 0.500 0.144 0.409
Sn2 0.500 0.409 0.144
Sn3 0.500 0.660 0.660
Ir1 0.500 0.073 0.729
Ir2 0.500 0.729 0.073

Properties
Calculated total energy ... -6.601 eV per atom

=====

What did the fourth record say?
Cs2AgCl3F after structural relaxation. Source: OQMD via LeMat-Bulk, functional GGA-PBE.

a = 4.369 Å, b = 7.303 Å, c = 7.303 Å
α = 82.27°, β = 90.00°, γ = 90.00°
Element x y z (fractional)
Cs1 0.000 0.217 0.783
Cs2 0.000 0.783 0.217
Ag1 0.500 0.744 0.744
Cl1 0.500 0.005 0.496
Cl2 0.500 0.496 0.005
Cl3 0.500 0.523 0.523
F1 0.500 0.942 0.942

Properties
Calculated total energy ... -3.206 eV per atom